Here is a relaxed Sm7Ga2Pt2 crystal from Alexandria via LeMat-Bulk. Energies are from PBE.

N(E_F) = 10.46 states/eV/cell
formation enthalpy at 0 K = -514.3 meV/atom
space group = No. 65

a = 6.871 Å, b = 7.126 Å, c = 6.871 Å
α = 89.99°, β = 107.75°, γ = 90.01°
Fractional positions:
Sm (0.000, 0.264, 0.500)
Sm (0.500, 0.736, 0.000)
Sm (0.000, 0.736, 0.500)
Sm (0.500, 0.264, 0.000)
Sm (0.000, 0.000, 0.000)
Sm (0.500, 0.740, 0.500)
Sm (0.500, 0.260, 0.500)
Ga (0.838, 0.500, 0.838)
Ga (0.162, 0.500, 0.162)
Pt (0.708, 0.000, 0.292)
Pt (0.292, 0.000, 0.708)